Record 1
Entry from the Alexandria database: a relaxed Rb2HfGaSe4 crystal (PBE-GGA).

Structure (POSCAR):
```
Rb2HfGaSe4
1.0
0.000 7.197 12.385
3.361 0.000 12.385
3.361 7.197 0.000
Rb Hf Ga Se
4 2 2 8
Direct
0.056 0.056 0.694
0.306 0.306 0.944
0.694 0.694 0.056
0.944 0.944 0.306
0.125 0.125 0.125
0.875 0.875 0.875
0.375 0.375 0.375
0.625 0.625 0.625
0.033 0.324 0.410
0.268 0.590 0.676
0.324 0.033 0.732
0.410 0.732 0.033
0.590 0.268 0.967
0.676 0.967 0.268
0.732 0.410 0.324
0.967 0.676 0.590
```

* spin magnetization: 0.00 μB/cell
* DOS at the Fermi energy: 3.172 states/eV/f.u.
* raw total energy: -4.647 eV/atom
* volume: 37.450 A^3/atom

***

Record 2
Entry from the Alexandria database: a relaxed Rb2HfGaTe4 crystal (PBE-GGA).

Structure (POSCAR):
```
Rb2HfGaTe4
1.0
0.000 7.497 13.138
3.573 0.000 13.138
3.573 7.497 0.000
Rb Hf Ga Te
4 2 2 8
Direct
0.056 0.056 0.694
0.306 0.306 0.944
0.694 0.694 0.056
0.944 0.944 0.306
0.125 0.125 0.125
0.875 0.875 0.875
0.375 0.375 0.375
0.625 0.625 0.625
0.041 0.321 0.413
0.275 0.587 0.679
0.321 0.041 0.725
0.413 0.725 0.041
0.587 0.275 0.959
0.679 0.959 0.275
0.725 0.413 0.321
0.959 0.679 0.587
```

* spin magnetization: 0.00 μB/cell
* DOS at the Fermi energy: 4.784 states/eV/f.u.
* raw total energy: -4.168 eV/atom
* volume: 43.996 A^3/atom

***

Record 3
Entry from the Alexandria database: a relaxed RbHf2TiGa crystal (PBE-GGA).

Structure (POSCAR):
```
RbHf2TiGa
1.0
5.064 0.000 0.000
0.000 5.064 0.000
0.000 0.000 5.319
Rb Hf Ti Ga
1 2 1 1
Direct
0.000 0.000 0.000
0.000 0.500 0.500
0.500 0.000 0.500
0.500 0.500 0.500
0.500 0.500 0.000
```

* spin magnetization: 0.00 μB/cell
* DOS at the Fermi energy: 4.214 states/eV/f.u.
* DFT formation energy: 0.840 eV/atom
* raw total energy: -5.519 eV/atom
* volume: 27.277 A^3/atom